[1]
! Hf2CrB (PBEsol, relaxed); values from VASP
&SYSTEM
  ibrav = 0, nat = 16, ntyp = 3
/
ATOMIC_SPECIES
Hf 178.49 Hf.upf
Cr 52.00 Cr.upf
B 10.81 B.upf
ATOMIC_POSITIONS crystal
Hf 0.103 0.750 0.125
Hf 0.250 0.103 0.875
Hf 0.250 0.397 0.375
Hf 0.397 0.750 0.625
Hf 0.603 0.250 0.625
Hf 0.750 0.603 0.375
Hf 0.750 0.897 0.875
Hf 0.897 0.250 0.125
Cr 0.000 0.000 0.500
Cr 0.000 0.500 0.750
Cr 0.500 0.000 0.250
Cr 0.500 0.500 0.000
B 0.000 0.000 0.000
B 0.000 0.500 0.250
B 0.500 0.000 0.750
B 0.500 0.500 0.500
CELL_PARAMETERS angstrom
8.382 0.000 0.000
0.000 8.382 0.000
0.000 0.000 3.882
! - energy (eV/cell) = -148.148
! - symmetry = No. 122
! - density of states at the Fermi level (states/eV/atom) = 0.88
! - total moment (μB per atom) = 0.272
! - energy of formation (eV/atom) = 0.3069
! - theoretical density (g/cm3) = 10.2

***

[2]
! ZnNiAgBr2 (PBEsol, relaxed); values from VASP
&SYSTEM
  ibrav = 0, nat = 5, ntyp = 4
/
ATOMIC_SPECIES
Zn 65.41 Zn.upf
Ni 58.69 Ni.upf
Ag 107.87 Ag.upf
Br 79.90 Br.upf
ATOMIC_POSITIONS crystal
Zn 0.000 0.000 0.000
Ni 0.500 0.500 0.500
Ag 0.500 0.500 0.000
Br 0.000 0.500 0.500
Br 0.500 0.000 0.500
CELL_PARAMETERS angstrom
4.691 0.000 0.000
0.000 4.691 0.000
0.000 0.000 5.059
! - energy (eV/cell) = -13.278
! - symmetry = No. 123
! - density of states at the Fermi level (states/eV/atom) = 1.00
! - total moment (μB per atom) = 0.001
! - uncorrected formation energy (eV per atom) = 0.303
! - theoretical density (g/cm3) = 5.8